(1)
Material: Sm3DySc3Se8
Method: DFT, PBE
State: optimized geometry

The total magnetization comes out at 0.00 μB per cell. Its crystal system is trigonal.

CIF file:
```
data_Sm3DySc3Se8
_cell_length_a 7.980
_cell_length_b 7.981
_cell_length_c 8.080
_cell_angle_alpha 119.60
_cell_angle_beta 90.00
_cell_angle_gamma 120.00
_space_group_name_H-M_alt 'P 1'
_space_group_IT_number 1
loop_
_space_group_symop_operation_xyz
'x,y,z'
loop_
_atom_site_label
_atom_site_fract_x
_atom_site_fract_y
_atom_site_fract_z
Sm1 0.000 0.000 0.000
Sm2 0.000 0.500 0.000
Sm3 0.500 0.500 0.000
Dy1 0.000 0.000 0.500
Sc1 0.500 0.000 0.500
Sc2 0.500 0.500 0.500
Sc3 0.000 0.500 0.500
Se1 0.258 0.515 0.273
Se2 0.742 0.485 0.727
Se3 0.745 0.491 0.261
Se4 0.255 0.509 0.739
Se5 0.745 0.015 0.261
Se6 0.255 0.985 0.739
Se7 0.270 0.015 0.261
Se8 0.730 0.985 0.739
```


(2)
Material: SmDy3Sc2Se6
Method: DFT, PBE
State: optimized geometry

The total magnetization comes out at 0.00 μB per cell. Its crystal system is monoclinic.

CIF file:
```
data_SmDy3Sc2Se6
_cell_length_a 6.986
_cell_length_b 6.986
_cell_length_c 6.975
_cell_angle_alpha 99.57
_cell_angle_beta 99.57
_cell_angle_gamma 120.16
_space_group_name_H-M_alt 'P 1'
_space_group_IT_number 1
loop_
_space_group_symop_operation_xyz
'x,y,z'
loop_
_atom_site_label
_atom_site_fract_x
_atom_site_fract_y
_atom_site_fract_z
Sm1 0.000 0.000 0.000
Dy1 0.158 0.842 0.500
Dy2 0.842 0.158 0.500
Dy3 0.500 0.500 0.500
Sc1 0.336 0.664 0.000
Sc2 0.664 0.336 0.000
Se1 0.919 0.570 0.755
Se2 0.731 0.731 0.238
Se3 0.081 0.430 0.245
Se4 0.570 0.919 0.755
Se5 0.269 0.269 0.762
Se6 0.430 0.081 0.245
```


(3)
Material: SmDy2Sc3Se6
Method: DFT, PBE
State: optimized geometry

The total magnetization comes out at 0.00 μB per cell. Its crystal system is monoclinic.

CIF file:
```
data_SmDy2Sc3Se6
_cell_length_a 6.900
_cell_length_b 6.900
_cell_length_c 6.951
_cell_angle_alpha 99.47
_cell_angle_beta 99.47
_cell_angle_gamma 120.22
_space_group_name_H-M_alt 'P 1'
_space_group_IT_number 1
loop_
_space_group_symop_operation_xyz
'x,y,z'
loop_
_atom_site_label
_atom_site_fract_x
_atom_site_fract_y
_atom_site_fract_z
Sm1 0.000 0.000 0.000
Dy1 0.334 0.666 0.000
Dy2 0.666 0.334 0.000
Sc1 0.160 0.840 0.500
Sc2 0.840 0.160 0.500
Sc3 0.500 0.500 0.500
Se1 0.911 0.570 0.731
Se2 0.749 0.749 0.266
Se3 0.089 0.430 0.269
Se4 0.570 0.911 0.731
Se5 0.251 0.251 0.734
Se6 0.430 0.089 0.269
```


no.,raw total energy (eV/cell)
1,-92.2
2,-72.5
3,-73.9